*i*
First-principles (GGA-PBE) data for crystalline LiSmAs at its relaxed geometry, as listed in Alexandria via LeMat-Bulk.

Cell lengths 4.2066, 4.2066, 4.0438 Å; angles 90.00, 90.00, 120.00 degrees
Last column: nearest neighbours and their distance in Å.
Atoms (fractional coordinates):
Li  0.0000  0.0000  0.0000  3 As 2.43
Sm  0.6667  0.3333  0.5000  6 Li 3.16, 6 As 3.16
As  0.3333  0.6667  0.0000  3 Li 2.43

Values from the calculation:
- M_tot: 0.8 Bohr magnetons per cell
- Fermi-level density of states: 0.34 states/eV/atom


*ii*
First-principles (GGA-PBE) data for crystalline LiSmAs at its relaxed geometry, as listed in Alexandria via LeMat-Bulk.

Cell lengths 4.1553, 4.1553, 7.2042 Å; angles 90.00, 90.00, 90.00 degrees
Last column: nearest neighbours and their distance in Å.
Atoms (fractional coordinates):
Li  0.2500  0.7500  0.0000  4 As 2.67, 4 Li 2.94
Li  0.7500  0.2500  0.0000  4 As 2.67, 4 Li 2.94
Sm  0.2500  0.2500  0.3443  5 As 3.04-3.05, 4 Li 3.24
Sm  0.7500  0.7500  0.6557  5 As 3.04-3.05, 4 Li 3.24
As  0.2500  0.2500  0.7669  4 Li 2.67
As  0.7500  0.7500  0.2331  4 Li 2.67

Values from the calculation:
- M_tot: 0.0 Bohr magnetons per cell
- Fermi-level density of states: 0.47 states/eV/atom


*iii*
First-principles (GGA-PBE) data for crystalline LiSmAs at its relaxed geometry, as listed in Alexandria via LeMat-Bulk.

Cell lengths 5.6247, 5.6247, 5.6247 Å; angles 142.48, 142.48, 54.11 degrees
Last column: nearest neighbours and their distance in Å.
Atoms (fractional coordinates):
Li  0.0000  0.0000  0.0000  4 As 2.74, 1 Sm 2.86
Sm  0.2857  0.2857  0.0000  1 Li 2.86, 5 As 3.13-3.17
As  0.5981  0.5981  0.0000  4 Li 2.74

Values from the calculation:
- M_tot: 0.0 Bohr magnetons per cell
- Fermi-level density of states: 1.07 states/eV/atom


Which is most stable? The ranking, best first, is *ii*, *i*, *iii*.


*i*
First-principles (GGA-PBE) data for crystalline LiSmAs at its relaxed geometry, as listed in Alexandria via LeMat-Bulk.

Cell lengths 4.6874, 4.6874, 4.6874 Å; angles 60.00, 60.00, 60.00 degrees
Last column: nearest neighbours and their distance in Å.
Atoms (fractional coordinates):
Li  0.0000  0.0000  0.0000  4 As 2.87
Sm  0.5000  0.5000  0.5000  4 As 2.87
As  0.7500  0.7500  0.7500  4 Sm 2.87, 4 Li 2.87

Values from the calculation:
- M_tot: 0.0 Bohr magnetons per cell
- Fermi-level density of states: 0.63 states/eV/atom


*ii*
First-principles (GGA-PBE) data for crystalline LiSmAs at its relaxed geometry, as listed in Alexandria via LeMat-Bulk.

Cell lengths 7.9914, 7.9914, 4.3530 Å; angles 90.00, 90.00, 149.72 degrees
Last column: nearest neighbours and their distance in Å.
Atoms (fractional coordinates):
Li  0.0000  0.0000  0.0000  2 Li 2.18
Li  0.0000  0.0000  0.5000  2 Li 2.18
Sm  0.3368  0.6632  0.7500  5 As 2.90-3.02
Sm  0.6632  0.3368  0.2500  5 As 2.90-3.02
As  0.1485  0.8515  0.7500  2 Li 2.54
As  0.8515  0.1485  0.2500  2 Li 2.54

Values from the calculation:
- M_tot: 0.0 Bohr magnetons per cell
- Fermi-level density of states: 0.45 states/eV/atom


Which is most stable? The ranking, best first, is *i*, *ii*.


*i*
First-principles (GGA-PBE) data for crystalline LiSm2As at its relaxed geometry, as listed in Alexandria via LeMat-Bulk.

Cell lengths 4.8869, 4.8869, 3.9777 Å; angles 90.00, 90.00, 90.00 degrees
Last column: nearest neighbours and their distance in Å.
Atoms (fractional coordinates):
Li  0.0000  0.0000  0.0000  8 Sm 3.15, 4 As 3.46
Sm  0.0000  0.5000  0.5000  4 As 3.15, 4 Li 3.15, 4 Sm 3.46
Sm  0.5000  0.0000  0.5000  4 As 3.15, 4 Li 3.15, 4 Sm 3.46
As  0.5000  0.5000  0.0000  8 Sm 3.15, 4 Li 3.46

Values from the calculation:
- M_tot: 0.0 Bohr magnetons per cell
- Fermi-level density of states: 0.71 states/eV/atom


*ii*
First-principles (GGA-PBE) data for crystalline LiSm2As at its relaxed geometry, as listed in Alexandria via LeMat-Bulk.

Cell lengths 10.5653, 10.5653, 10.5653 Å; angles 21.37, 21.37, 21.37 degrees
Last column: nearest neighbours and their distance in Å.
Atoms (fractional coordinates):
Li  0.0000  0.0000  0.0000  2 Sm 3.43
Sm  0.1107  0.1107  0.1107  3 As 2.85
Sm  0.8893  0.8893  0.8893  3 As 2.85
As  0.5000  0.5000  0.5000  6 Sm 2.85

Values from the calculation:
- M_tot: 0.0 Bohr magnetons per cell
- Fermi-level density of states: 1.03 states/eV/atom


Which is most stable? The ranking, best first, is *i*, *ii*.


*i*
First-principles (GGA-PBE) data for crystalline Li2Sn2As at its relaxed geometry, as listed in Alexandria via LeMat-Bulk.

Cell lengths 7.8539, 7.8539, 3.4434 Å; angles 90.00, 90.00, 90.00 degrees
Last column: nearest neighbours and their distance in Å.
Atoms (fractional coordinates):
Li  0.1692  0.3308  0.0000  6 Sn 2.78-2.95
Li  0.3308  0.8308  0.0000  6 Sn 2.78-2.95
Li  0.6692  0.1692  0.0000  6 Sn 2.78-2.95
Li  0.8308  0.6692  0.0000  6 Sn 2.78-2.95
Sn  0.1343  0.6343  0.5000  6 Li 2.78-2.95, 1 Sn 2.98, 2 As 3.06
Sn  0.3657  0.1343  0.5000  6 Li 2.78-2.95, 1 Sn 2.98, 2 As 3.06
Sn  0.6343  0.8657  0.5000  6 Li 2.78-2.95, 1 Sn 2.98, 2 As 3.06
Sn  0.8657  0.3657  0.5000  6 Li 2.78-2.95, 1 Sn 2.98, 2 As 3.06
As  0.0000  0.0000  0.5000  4 Sn 3.06, 8 Li 3.39
As  0.5000  0.5000  0.5000  4 Sn 3.06, 8 Li 3.39

Values from the calculation:
- M_tot: 0.0 Bohr magnetons per cell
- Fermi-level density of states: 0.39 states/eV/atom


*ii*
First-principles (GGA-PBE) data for crystalline Li2Sn2As at its relaxed geometry, as listed in Alexandria via LeMat-Bulk.

Cell lengths 6.7163, 6.7163, 4.5796 Å; angles 90.00, 90.00, 90.00 degrees
Last column: nearest neighbours and their distance in Å.
Atoms (fractional coordinates):
Li  0.1472  0.3528  0.0000  2 As 2.57, 1 Li 2.80
Li  0.3528  0.8528  0.0000  2 As 2.57, 1 Li 2.80
Li  0.6472  0.1472  0.0000  2 As 2.57, 1 Li 2.80
Li  0.8528  0.6472  0.0000  2 As 2.57, 1 Li 2.80
Sn  0.1663  0.6663  0.5000  6 Li 2.89-3.11, 1 Sn 3.16
Sn  0.3337  0.1663  0.5000  6 Li 2.89-3.11, 1 Sn 3.16
Sn  0.6663  0.8337  0.5000  6 Li 2.89-3.11, 1 Sn 3.16
Sn  0.8337  0.3337  0.5000  6 Li 2.89-3.11, 1 Sn 3.16
As  0.0000  0.0000  0.0000  4 Li 2.57
As  0.5000  0.5000  0.0000  4 Li 2.57

Values from the calculation:
- M_tot: 0.0 Bohr magnetons per cell
- Fermi-level density of states: 0.62 states/eV/atom


Which is most stable? The ranking, best first, is *ii*, *i*.